Compound: NaHfTl
Source: the Alexandria database
Functional: PBE-GGA
Structure: relaxed

Magnetic moment (μB/f.u.): 0.00
Crystal system: hexagonal
Energy above the most stable polymorph in this dataset (eV per atom): 0.446
ΔH_f (0 K) (eV/atom): 0.435

a b c (Å): 5.2283 5.2283 3.1904
angles (deg): 90.00 90.00 120.00
Closest atoms and distances in Å follow each position.
Positions (direct):
Na  0.0000  0.0000  0.0000  2 Na 3.19, 6 Tl 3.41, 6 Hf 3.41
Hf  0.6667  0.3333  0.5000  3 Tl 3.02, 2 Hf 3.19
Tl  0.3333  0.6667  0.5000  3 Hf 3.02, 2 Tl 3.19

Compound: VFeIr2W
Source: the Alexandria database
Functional: PBE-GGA
Structure: relaxed

Magnetic moment (μB/f.u.): 1.66
Crystal system: tetragonal
ΔH_f (0 K) (eV/atom): 1.686

a b c (Å): 4.7367 4.7367 4.4052
angles (deg): 90.00 90.00 90.00
Closest atoms and distances in Å follow each position.
Positions (direct):
V  0.0000  0.0000  0.0000  8 Ir 3.23, 4 Fe 3.35
Fe  0.5000  0.5000  0.0000  2 W 2.20
Ir  0.0000  0.5000  0.5000  2 W 2.37
Ir  0.5000  0.0000  0.5000  2 W 2.37
W  0.5000  0.5000  0.5000  2 Fe 2.20, 4 Ir 2.37

Q: What is the ΔH_f (0 K) in the first record?
A: 0.435 eV/atom